(1)
Material: LaLu3C
Method: DFT, GGA-PBE
State: relaxed

Density: 9.2 g/cm3
Formation energy from the elements: -0.16 eV/f.u.

```
LaLu3C
1.0
4.965 0.000 0.000
0.000 4.965 0.000
0.000 0.000 4.965
La Lu C
1 3 1
Cartesian
0.000 0.000 0.000
0.000 2.482 2.482
2.482 0.000 2.482
2.482 2.482 0.000
2.482 2.482 2.482
```

***

(2)
Material: LaLu2C
Method: DFT, GGA-PBE
State: relaxed

Density: 8.2 g/cm3
Formation energy from the elements: -0.71 eV/f.u.

```
LaLu2C
1.0
1.728 0.998 9.808
-1.728 0.998 9.808
0.000 -1.996 9.808
La Lu C
1 2 1
Cartesian
0.000 0.000 0.000
0.000 0.000 3.588
0.000 0.000 25.836
0.000 0.000 14.712
```

***

(3)
Material: LaMg14C
Method: DFT, GGA-PBE
State: relaxed

Density: 2.2 g/cm3
Formation energy from the elements: 4.59 eV/f.u.

```
LaMg14C
1.0
6.479 0.000 0.000
-3.239 5.611 0.000
0.000 0.000 10.051
La Mg C
1 14 1
Cartesian
0.000 0.000 0.000
-1.522 2.862 0.000
0.000 1.750 2.831
0.000 1.750 7.220
-1.724 4.736 2.831
-1.724 4.736 7.220
1.522 2.862 0.000
0.000 5.498 0.000
3.239 0.102 5.026
1.708 2.754 5.026
3.239 1.870 2.367
3.239 1.870 7.684
1.724 4.736 2.831
1.724 4.736 7.220
4.771 2.754 5.026
0.000 0.000 5.026
```

***

(4)
Material: LaMg3C
Method: DFT, GGA-PBE
State: relaxed

Density: 1.4 g/cm3
Formation energy from the elements: 11.74 eV/f.u.

```
LaMg3C
1.0
6.458 0.000 0.000
0.000 6.458 0.000
0.000 0.000 6.458
La Mg C
1 3 1
Cartesian
0.000 0.000 0.000
0.000 0.000 3.229
0.000 3.229 0.000
3.229 0.000 0.000
3.229 3.229 3.229
```